Entry from Alexandria: a relaxed BaCaFe2O crystal (PBE with a Hubbard U).

CIF file:
```
data_BaCaFe2O
_symmetry_space_group_name_H-M 'P 4/m m m'
_symmetry_Int_Tables_number 123
_symmetry_space_group_name_Hall '-P 4 2'
_cell_length_a 4.838
_cell_length_b 4.838
_cell_length_c 7.914
_cell_angle_alpha 90.00
_cell_angle_beta 90.00
_cell_angle_gamma 90.00
loop_
_atom_site_label
_atom_site_type_symbol
_atom_site_fract_x
_atom_site_fract_y
_atom_site_fract_z
Ba1 Ba 0.000 0.000 0.000
Ca1 Ca 0.000 0.000 0.500
Fe1 Fe 0.000 0.500 0.500
O1 O 0.500 0.500 0.000
```

Results
- raw total energy (eV/cell) = -14.23
- total magnetic moment (μB/atom) = 1.22
- calculated volume (Å³ per cell) = 185